[1]
This record from Alexandria describes Tb5TcNi after structural relaxation. The functional is PBE-GGA.

The calculation puts the formation energy at -0.052 eV/atom. As for the density of states at the Fermi level: 0.922 states/eV per atom. For the total energy, the calculation gives -158.7 eV for the cell shown. Its mass density is 8.1 g cm⁻³.

The space group is C2/c (No. 15) and the conventional cell measures 9.435, 13.685 and 6.401 Å, with angles of 90.00, 109.96 and 90.00 degrees. The inequivalent atoms are Tb at (0.000, 0.147, 0.250), Tb at (0.105, 0.348, 0.561), Tb at (0.228, 0.083, 0.860), Tc at (0.000, 0.498, 0.750) and Ni at (0.000, 0.000, 0.000).



[2]
This record from Alexandria describes TbZrTcNi after structural relaxation. The functional is PBE-GGA.

The calculation puts the formation energy at -0.233 eV/atom. As for the density of states at the Fermi level: 0.656 states/eV per atom. For the total energy, the calculation gives -121.0 eV for the cell shown. Its mass density is 9.1 g cm⁻³.

The space group is F-43m (No. 216) and the conventional cell measures 6.664, 6.664 and 6.664 Å, with angles of 90.00, 90.00 and 90.00 degrees. The inequivalent atoms are Tb at (0.000, 0.000, 0.000), Zr at (0.000, 0.000, 0.500), Tc at (0.250, 0.250, 0.250) and Ni at (0.250, 0.250, 0.750).



[3]
This record from Alexandria describes Tb2NiTe after structural relaxation. The functional is PBE-GGA.

The calculation puts the relative energy among the computed polymorphs at 0 meV/atom. As for the density of states at the Fermi level: 0.904 states/eV per atom. For the total energy, the calculation gives -86.1 eV for the cell shown. Its mass density is 8.3 g cm⁻³.

The space group is Cmcm (No. 63) and the conventional cell measures 4.053, 22.556 and 4.388 Å, with angles of 90.00, 90.00 and 90.00 degrees. The inequivalent atoms are Tb at (0.000, 0.056, 0.250), Tb at (0.000, 0.343, 0.250), Ni at (0.000, 0.468, 0.250) and Te at (0.000, 0.195, 0.250).



[4]
This record from Alexandria describes Tb4NiTe3 after structural relaxation. The functional is PBE-GGA.

As for the density of states at the Fermi level: 0.617 states/eV per atom. For the total energy, the calculation gives -84.6 eV for the cell shown. Its mass density is 7.9 g cm⁻³.

The space group is Cmmm (No. 65) and the conventional cell measures 8.892, 12.245 and 4.155 Å, with angles of 90.00, 90.00 and 90.00 degrees. The inequivalent atoms are Tb at (0.000, 0.232, 0.000), Tb at (0.208, 0.000, 0.500), Ni at (0.000, 0.000, 0.000), Te at (0.000, 0.500, 0.000) and Te at (0.250, 0.250, 0.500).



[5]
This record from Alexandria describes Tb5NiTe2 after structural relaxation. The functional is PBE-GGA.

The calculation puts the relative energy among the computed polymorphs at 220 meV/atom. As for the density of states at the Fermi level: 1.040 states/eV per atom. For the total energy, the calculation gives -157.8 eV for the cell shown. Its mass density is 7.5 g cm⁻³.

The space group is Cmcm (No. 63) and the conventional cell measures 5.894, 11.805 and 14.031 Å, with angles of 90.00, 90.00 and 90.00 degrees. The inequivalent atoms are Tb at (0.000, 0.063, 0.123), Tb at (0.000, 0.327, 0.750), Tb at (0.000, 0.379, 0.113), Ni at (0.000, 0.223, 0.250) and Te at (0.000, 0.193, 0.565).



[6]
This record from Alexandria describes Tb7Ni2Te2 after structural relaxation. The functional is PBE-GGA.

As for the density of states at the Fermi level: 0.809 states/eV per atom. For the total energy, the calculation gives -115.3 eV for the cell shown. Its mass density is 8.4 g cm⁻³.

The space group is Imm2 (No. 44) and the conventional cell measures 3.867, 15.767 and 9.647 Å, with angles of 90.00, 90.00 and 90.00 degrees. The inequivalent atoms are Tb at (0.000, 0.000, 0.000), Tb at (0.000, 0.132, 0.418), Tb at (0.000, 0.315, 0.620), Tb at (0.000, 0.353, 0.270), Ni at (0.000, 0.238, 0.928), Te at (0.000, 0.000, 0.664) and Te at (0.000, 0.500, 0.764).



[7]
This record from Alexandria describes Tb3Ni5Te12 after structural relaxation. The functional is PBE-GGA.

As for the density of states at the Fermi level: 0.829 states/eV per atom. For the total energy, the calculation gives -724.2 eV for the cell shown. Its mass density is 7.0 g cm⁻³.

The space group is Ia-3d (No. 230) and the conventional cell measures 16.352, 16.352 and 16.352 Å, with angles of 90.00, 90.00 and 90.00 degrees. The inequivalent atoms are Tb at (0.000, 0.250, 0.125), Ni at (0.000, 0.000, 0.000), Ni at (0.000, 0.250, 0.375) and Te at (0.029, 0.057, 0.647).



[8]
This record from Alexandria describes Tb5Ni2Te2 after structural relaxation. The functional is PBE-GGA.

As for the density of states at the Fermi level: 1.026 states/eV per atom. For the total energy, the calculation gives -192.1 eV for the cell shown. Its mass density is 8.4 g cm⁻³.

The space group is Cmce (No. 64) and the conventional cell measures 15.562, 7.708 and 7.698 Å, with angles of 90.00, 90.00 and 90.00 degrees. The inequivalent atoms are Tb at (0.000, 0.000, 0.000), Tb at (0.118, 0.159, 0.341), Ni at (0.000, 0.132, 0.629) and Te at (0.207, 0.000, 0.000).



> Among the records above, which one has the highest mass density?

TbZrTcNi



> Which value of mass density does entry 7 give?

7.0 g cm⁻³



> mass density of number 3 (Tb2NiTe)?

8.3 g cm⁻³